No. 1
Entry from Alexandria via LeMat-Bulk: a relaxed structure of Cd2GaSO (PBE).

Geometry as CIF:
```
data_Cd2GaSO
_symmetry_space_group_name_H-M 'P 1'
_symmetry_Int_Tables_number 1
_symmetry_space_group_name_Hall 'P 1'
_cell_length_a 5.401
_cell_length_b 3.690
_cell_length_c 5.401
_cell_angle_alpha 90.00
_cell_angle_beta 90.00
_cell_angle_gamma 90.00
loop_
_atom_site_label
_atom_site_type_symbol
_atom_site_fract_x
_atom_site_fract_y
_atom_site_fract_z
S1 S 0.500 0.500 0.500
O1 O 0.000 0.500 0.000
Ga1 Ga 0.000 0.000 0.000
Cd1 Cd 0.000 0.000 0.500
Cd2 Cd 0.500 0.000 0.000
```

Results
ΔE_f (raw) ... -0.003 eV per atom
Crystal system ... tetragonal
SG ... P4/mmm, No. 123

***

No. 2
Entry from Alexandria via LeMat-Bulk: a relaxed structure of YBe2Ni (PBE).

Geometry as CIF:
```
data_YBe2Ni
_symmetry_space_group_name_H-M 'P 1'
_symmetry_Int_Tables_number 1
_symmetry_space_group_name_Hall 'P 1'
_cell_length_a 3.766
_cell_length_b 3.766
_cell_length_c 5.254
_cell_angle_alpha 69.15
_cell_angle_beta 69.15
_cell_angle_gamma 59.94
loop_
_atom_site_label
_atom_site_type_symbol
_atom_site_fract_x
_atom_site_fract_y
_atom_site_fract_z
Y1 Y 0.250 0.250 0.250
Ni1 Ni 0.750 0.750 0.750
Be1 Be 0.058 0.058 0.826
Be2 Be 0.442 0.442 0.674
```

Results
Crystal system ... monoclinic
SG ... C2/m, No. 12

***

No. 3
Entry from Alexandria via LeMat-Bulk: a relaxed structure of Ca2ReSb (PBE).

Geometry as CIF:
```
data_Ca2ReSb
_symmetry_space_group_name_H-M 'P 1'
_symmetry_Int_Tables_number 1
_symmetry_space_group_name_Hall 'P 1'
_cell_length_a 10.070
_cell_length_b 10.070
_cell_length_c 10.070
_cell_angle_alpha 19.20
_cell_angle_beta 19.20
_cell_angle_gamma 19.20
loop_
_atom_site_label
_atom_site_type_symbol
_atom_site_fract_x
_atom_site_fract_y
_atom_site_fract_z
Re1 Re 0.250 0.250 0.250
Ca1 Ca 0.994 0.994 0.994
Ca2 Ca 0.506 0.506 0.506
Sb1 Sb 0.750 0.750 0.750
```

Results
ΔE_f (raw) ... 0.381 eV per atom
Crystal system ... trigonal
SG ... R-3m, No. 166

***

No. 4
Entry from Alexandria via LeMat-Bulk: a relaxed structure of Nd2Be4SiPt3 (PBE).

Geometry as CIF:
```
data_Nd2Be4SiPt3
_symmetry_space_group_name_H-M 'P 1'
_symmetry_Int_Tables_number 1
_symmetry_space_group_name_Hall 'P 1'
_cell_length_a 3.992
_cell_length_b 3.992
_cell_length_c 10.015
_cell_angle_alpha 90.00
_cell_angle_beta 90.00
_cell_angle_gamma 90.00
loop_
_atom_site_label
_atom_site_type_symbol
_atom_site_fract_x
_atom_site_fract_y
_atom_site_fract_z
Nd1 Nd 0.500 0.000 0.252
Nd2 Nd 0.000 0.500 0.748
Be1 Be 0.500 0.500 0.000
Be2 Be 0.000 0.000 0.000
Be3 Be 0.500 0.000 0.632
Be4 Be 0.000 0.500 0.368
Si1 Si 0.500 0.500 0.500
Pt1 Pt 0.000 0.000 0.500
Pt2 Pt 0.500 0.000 0.880
Pt3 Pt 0.000 0.500 0.120
```

Results
ΔE_f (raw) ... -0.720 eV per atom
Crystal system ... tetragonal
SG ... P-4m2, No. 115

***

No. 5
Entry from Alexandria via LeMat-Bulk: a relaxed structure of Ta2SbIr (PBE).

Geometry as CIF:
```
data_Ta2SbIr
_symmetry_space_group_name_H-M 'P 1'
_symmetry_Int_Tables_number 1
_symmetry_space_group_name_Hall 'P 1'
_cell_length_a 3.044
_cell_length_b 3.044
_cell_length_c 8.109
_cell_angle_alpha 90.00
_cell_angle_beta 90.00
_cell_angle_gamma 90.00
loop_
_atom_site_label
_atom_site_type_symbol
_atom_site_fract_x
_atom_site_fract_y
_atom_site_fract_z
Ir1 Ir 0.000 0.000 0.473
Sb1 Sb 0.500 0.500 0.741
Ta1 Ta 0.000 0.000 0.015
Ta2 Ta 0.500 0.500 0.271
```

Results
ΔE_f (raw) ... 0.023 eV per atom
Crystal system ... tetragonal
SG ... P4mm, No. 99

***

No. 6
Entry from Alexandria via LeMat-Bulk: a relaxed structure of MnCrNi3 (PBE).

Geometry as CIF:
```
data_MnCrNi3
_symmetry_space_group_name_H-M 'P 1'
_symmetry_Int_Tables_number 1
_symmetry_space_group_name_Hall 'P 1'
_cell_length_a 4.234
_cell_length_b 4.234
_cell_length_c 4.234
_cell_angle_alpha 90.00
_cell_angle_beta 90.00
_cell_angle_gamma 90.00
loop_
_atom_site_label
_atom_site_type_symbol
_atom_site_fract_x
_atom_site_fract_y
_atom_site_fract_z
Ni1 Ni 0.000 0.500 0.000
Ni2 Ni 0.000 0.000 0.500
Ni3 Ni 0.500 0.000 0.000
Mn1 Mn 0.500 0.500 0.500
Cr1 Cr 0.000 0.000 0.000
```

Results
Crystal system ... cubic
SG ... Pm-3m, No. 221

***

Number 1: total magnetic moment 0.57 μB per formula unit, electronic total energy -2.791 eV/atom. Number 2: total magnetic moment 0.00 μB per formula unit, electronic total energy -5.199 eV/atom. Number 3: total magnetic moment 1.01 μB per formula unit, electronic total energy -4.762 eV/atom. Number 4: total magnetic moment 0.00 μB per formula unit, electronic total energy -5.519 eV/atom. Number 5: total magnetic moment 0.00 μB per formula unit, electronic total energy -9.149 eV/atom. Number 6: total magnetic moment 4.00 μB per formula unit, electronic total energy -6.170 eV/atom.